Record 1
Entry from the Alexandria database: crystalline CdSiAu2 at its relaxed geometry (PBE-GGA).

Cell: 3.6274 3.6274 5.7075 Å, 90.00 90.00 90.00°
With the nearest neighbours (Å) after each atom.
Atoms (fractional coordinates):
Cd 0.0000 0.0000 0.0000  6 Au 2.75-2.95
Si 0.5000 0.5000 0.3276  5 Au 2.58-2.71
Au 0.0000 0.0000 0.4823  4 Si 2.71, 2 Cd 2.75-2.95
Au 0.5000 0.5000 0.7802  1 Si 2.58, 4 Cd 2.86

## Properties
Energy above the lowest structure with this stoichiometry ... 61 meV/atom
Space group ... P4mm (99)

Record 2
Entry from the Alexandria database: crystalline ZnBrN at its relaxed geometry (PBE-GGA).

Cell: 4.7503 4.7503 8.0895 Å, 113.41 113.41 55.28°
With the nearest neighbours (Å) after each atom.
Atoms (fractional coordinates):
Zn 0.0857 0.0857 0.3997  2 N 2.00-2.04
Zn 0.9143 0.9143 0.6003  2 N 2.00-2.04
Br 0.2681 0.2681 0.2399  2 N 2.29, 1 Zn 2.41
Br 0.7319 0.7319 0.7601  2 N 2.29, 1 Zn 2.41
N 0.1766 0.1766 0.6798  2 Zn 2.00-2.04
N 0.8234 0.8234 0.3202  2 Zn 2.00-2.04

## Properties
Space group ... C2/m (12)

Record 3
Entry from the Alexandria database: crystalline K2GeH4 at its relaxed geometry (PBE-GGA).

Cell: 7.2321 4.6466 9.8216 Å, 90.00 108.28 90.00°
With the nearest neighbours (Å) after each atom.
Atoms (fractional coordinates):
K 0.1973 0.2500 0.4055  3 H 2.51-2.72
K 0.2351 0.7500 0.0469  3 H 2.63-2.71
K 0.7649 0.2500 0.9531  3 H 2.63-2.71
K 0.8027 0.7500 0.5945  3 H 2.51-2.72
Ge 0.3332 0.7500 0.7152  3 H 1.61-1.63
Ge 0.6668 0.2500 0.2848  3 H 1.61-1.63
H 0.1191 0.2500 0.1373  4 K 2.51-2.71
H 0.1748 0.5032 0.6490  1 Ge 1.61
H 0.1748 0.9968 0.6490  1 Ge 1.61
H 0.4015 0.7500 0.5715  1 Ge 1.63
H 0.5985 0.2500 0.4285  1 Ge 1.63
H 0.8252 0.0032 0.3510  1 Ge 1.61
H 0.8252 0.4968 0.3510  1 Ge 1.61
H 0.8809 0.7500 0.8627  4 K 2.51-2.71

## Properties
Space group ... P2_1/m (11)

no.,M_tot (μB per cell),final energy (eV/atom)
1,0.000,-3.16
2,0.000,-3.02
3,0.001,-3.01